## CaTb3Ho2Bi6 (PBE-GGA)

Data for a relaxed CaTb3Ho2Bi6 crystal.

Structure (extended XYZ):
```
12
Lattice="9.814 -2.247 0.000 9.814 2.247 0.000 -2.059 0.000 8.781" Properties=species:S:1:pos:R:3 pbc="T T T"
Ca 0.000 0.000 0.000
Tb -1.030 0.000 4.391
Tb 6.239 0.000 1.457
Tb 11.329 0.000 7.324
Ho 5.172 0.000 5.865
Ho 12.397 0.000 2.916
Bi 2.088 0.000 5.112
Bi 3.139 0.000 0.761
Bi 8.257 0.000 6.537
Bi 9.312 0.000 2.244
Bi 14.430 0.000 8.020
Bi 15.480 0.000 3.669
```

The calculated volume is 387 Å³ per cell. As for the density of states at the Fermi level: 0.2847 states/eV/atom. The calculation puts the formation energy at -829 meV/atom.

***

## CaTb2Ho3Bi6 (PBE-GGA)

Data for a relaxed CaTb2Ho3Bi6 crystal.

Structure (extended XYZ):
```
12
Lattice="9.809 -2.244 0.000 9.809 2.244 0.000 -2.078 0.000 8.771" Properties=species:S:1:pos:R:3 pbc="T T T"
Ca 0.000 0.000 0.000
Tb 5.161 0.000 5.864
Tb 12.379 0.000 2.907
Ho -1.039 0.000 4.385
Ho 6.223 0.000 1.460
Ho 11.316 0.000 7.311
Bi 2.054 0.000 5.123
Bi 3.148 0.000 0.730
Bi 9.272 0.000 2.250
Bi 8.267 0.000 6.520
Bi 14.392 0.000 8.041
Bi 15.485 0.000 3.648
```

The calculated volume is 386 Å³ per cell. As for the density of states at the Fermi level: 0.2863 states/eV/atom. The calculation puts the formation energy at -824 meV/atom.

***

## CaHo3Th2Bi6 (PBE-GGA)

Data for a relaxed CaHo3Th2Bi6 crystal.

Structure (extended XYZ):
```
12
Lattice="9.865 -2.270 0.000 9.865 2.270 0.000 -2.069 0.000 8.834" Properties=species:S:1:pos:R:3 pbc="T T T"
Ca 0.000 0.000 0.000
Ho -1.035 0.000 4.417
Ho 6.259 0.000 1.472
Ho 11.401 0.000 7.362
Th 5.241 0.000 5.928
Th 12.419 0.000 2.907
Bi 2.050 0.000 5.195
Bi 3.169 0.000 0.685
Bi 9.296 0.000 2.251
Bi 8.364 0.000 6.583
Bi 14.491 0.000 8.149
Bi 15.610 0.000 3.640
```

The calculated volume is 396 Å³ per cell. As for the density of states at the Fermi level: 0.1698 states/eV/atom. The calculation puts the formation energy at -763 meV/atom.

***

## CaHoTh2Bi4 (PBE-GGA)

Data for a relaxed CaHoTh2Bi4 crystal.

Structure (extended XYZ):
```
8
Lattice="7.858 0.000 0.000 0.000 4.577 0.000 -2.659 0.000 7.481" Properties=species:S:1:pos:R:3 pbc="T T T"
Ca 0.000 0.000 0.000
Ho -1.329 2.288 3.741
Th 2.600 0.000 3.741
Th 3.929 2.288 0.000
Bi -0.076 0.000 5.576
Bi 1.267 2.288 1.880
Bi 3.932 2.288 5.601
Bi 5.275 0.000 1.905
```

The calculated volume is 269 Å³ per cell. As for the density of states at the Fermi level: 0.2427 states/eV/atom. The calculation puts the formation energy at -728 meV/atom.